AcTmNO after structural relaxation, computed with PBE.

Structure (POSCAR):
```
AcTmNO
1.0
4.829 0.000 0.000
0.000 4.829 0.000
0.000 0.000 6.286
Ac Tm N O
2 2 2 2
direct
0.250 0.750 0.000 Ac
0.750 0.250 0.000 Ac
0.250 0.250 0.469 Tm
0.750 0.750 0.531 Tm
0.250 0.250 0.135 N
0.750 0.750 0.865 N
0.250 0.750 0.500 O
0.750 0.250 0.500 O
```

Symmetry = P4/nmm, No. 129
Excess energy over the best structure of this formula in the dataset = 0.173 eV per atom